DFT (PBE) results for a relaxed structure of TmNpSc2As4.

The structure in extended XYZ format:
```
8
Lattice="-2.883 -2.541 -1.027 2.271 -4.479 4.708 -3.185 1.186 6.009" Properties=species:S:1:pos:R:3 pbc="T T T"
As -0.496 -4.388 4.546
As -3.157 -3.301 1.622
As -3.301 -1.447 5.144
As -0.640 -2.534 8.068
Np -0.306 -3.510 1.841
Sc -3.034 -0.678 2.491
Sc -3.185 1.186 6.009
Tm -0.457 -1.647 5.358
```

Properties
energy relative to the elements = -1.2217 eV per atom
DOS at the Fermi energy = 1.308 states/eV/atom